[1]
VASP calculation (PBE) on a relaxed structure of TmCl2.

abc: 6.219 12.228 7.191
angles: 90.00 90.00 90.00
Space group Pbca (No. 61)
Asymmetric unit:
Tm  0.181  0.098  0.046
Cl  0.021  0.044  0.705
Cl  0.193  0.708  0.374

Output
Total DFT energy (no corrections)   -106.83 eV/cell
Raw formation energy   -1.730 eV/atom



[2]
VASP calculation (PBE) on a relaxed structure of TmCl5.

abc: 3.907 5.217 11.560
angles: 90.00 92.97 90.00
Space group Pm (No. 6)
Asymmetric unit:
Tm  0.000  0.000  0.000
Cl  0.000  0.500  0.000
Cl  0.477  0.000  0.848
Cl  0.497  0.500  0.587
Cl  0.523  0.000  0.152
Cl  0.555  0.500  0.417

Output
Total DFT energy (no corrections)   -22.63 eV/cell
Raw formation energy   -1.488 eV/atom



[3]
VASP calculation (PBE) on a relaxed structure of TmUCl6.

abc: 6.8138 6.8138 18.6079
angles: 90.00 90.00 120.00
Space group R-3 (No. 148, hexagonal axes)
Asymmetric unit:
Tm  0.0000  0.0000  0.0000
U  0.0000  0.0000  0.5000
Cl  0.0114  0.6511  0.7477

Output
Total DFT energy (no corrections)   -127.12 eV/cell
Raw formation energy   -1.942 eV/atom



[4]
VASP calculation (PBE) on a relaxed structure of TmUCl6.

abc: 6.726 12.415 6.717
angles: 90.00 105.83 90.00
Space group C2/m (No. 12)
Asymmetric unit:
Tm  0.000  0.000  0.000
U  0.000  0.500  0.500
Cl  0.236  0.143  0.240
Cl  0.246  0.000  0.759

Output
Total DFT energy (no corrections)   -84.78 eV/cell
Raw formation energy   -1.944 eV/atom



[5]
VASP calculation (PBE) on a relaxed structure of TmUCl.

abc: 5.793 3.619 6.953
angles: 90.00 101.74 90.00
Space group P2_1/m (No. 11)
Asymmetric unit:
Tm  0.084  0.250  0.202
U  0.448  0.250  0.881
Cl  0.261  0.750  0.549

Output
Total DFT energy (no corrections)   -39.08 eV/cell
Raw formation energy   -0.644 eV/atom



[6]
VASP calculation (PBE) on a relaxed structure of TmVCl.

abc: 3.273 4.714 8.865
angles: 75.92 79.87 73.54
Space group P1 (No. 1)
Asymmetric unit:
Tm  0.000  0.000  0.000
Tm  0.294  0.961  0.408
V  0.655  0.999  0.686
V  0.852  0.395  0.668
Cl  0.044  0.573  0.269
Cl  0.707  0.579  0.929

Output
Total DFT energy (no corrections)   -33.20 eV/cell
Raw formation energy   -0.387 eV/atom



[7]
VASP calculation (PBE) on a relaxed structure of YTm2Cl.

abc: 3.4096 3.4096 33.4257
angles: 90.00 90.00 120.00
Space group R-3m (No. 166, hexagonal axes)
Asymmetric unit:
Y  0.0000  0.0000  0.0000
Tm  0.0000  0.0000  0.1005
Cl  0.0000  0.0000  0.5000

Output
Total DFT energy (no corrections)   -55.59 eV/cell
Raw formation energy   -0.319 eV/atom



[8]
VASP calculation (PBE) on a relaxed structure of YTm3Cl.

abc: 5.210 5.210 5.210
angles: 90.00 90.00 90.00
Space group Pm-3m (No. 221)
Asymmetric unit:
Y  0.000  0.000  0.000
Tm  0.000  0.500  0.500
Cl  0.500  0.500  0.500

Output
Total DFT energy (no corrections)   -23.75 eV/cell
Raw formation energy   -0.406 eV/atom



[9]
VASP calculation (PBE) on a relaxed structure of YTmCl3.

abc: 15.925 3.815 10.342
angles: 90.00 120.68 90.00
Space group C2/m (No. 12)
Asymmetric unit:
Y  0.083  0.000  0.453
Tm  0.138  0.500  0.789
Cl  0.038  0.500  0.234
Cl  0.164  0.000  0.006
Cl  0.224  0.500  0.621

Output
Total DFT energy (no corrections)   -102.40 eV/cell
Raw formation energy   -1.825 eV/atom



[10]
VASP calculation (PBE) on a relaxed structure of Y3TmCl.

abc: 5.277 5.277 5.277
angles: 90.00 90.00 90.00
Space group Pm-3m (No. 221)
Asymmetric unit:
Y  0.000  0.000  0.500
Tm  0.500  0.500  0.500
Cl  0.000  0.000  0.000

Output
Total DFT energy (no corrections)   -27.92 eV/cell
Raw formation energy   -0.441 eV/atom



[11]
VASP calculation (PBE) on a relaxed structure of TmZnCl6.

abc: 6.359 6.360 6.860
angles: 90.14 117.34 119.96
Space group P-1 (No. 2)
Asymmetric unit:
Tm  0.000  0.000  0.000
Zn  0.000  0.500  0.500
Cl  0.157  0.417  0.256
Cl  0.159  0.258  0.742
Cl  0.485  0.900  0.744

Output
Total DFT energy (no corrections)   -27.66 eV/cell
Raw formation energy   -1.354 eV/atom



[12]
VASP calculation (PBE) on a relaxed structure of TmZnCl.

abc: 6.572 3.797 12.442
angles: 90.00 99.57 90.00
Space group C2/m (No. 12)
Asymmetric unit:
Tm  0.100  0.000  0.287
Zn  0.184  0.000  0.555
Cl  0.110  0.500  0.849

Output
Total DFT energy (no corrections)   -42.63 eV/cell
Raw formation energy   -1.022 eV/atom



[13]
VASP calculation (PBE) on a relaxed structure of TmZnCl5.

abc: 8.348 11.593 9.649
angles: 90.00 114.75 90.00
Space group C2/c (No. 15)
Asymmetric unit:
Tm  0.000  0.000  0.000
Zn  0.000  0.298  0.250
Cl  0.000  0.088  0.750
Cl  0.150  0.190  0.144
Cl  0.185  0.419  0.441

Output
Total DFT energy (no corrections)   -109.43 eV/cell
Raw formation energy   -1.768 eV/atom



[14]
VASP calculation (PBE) on a relaxed structure of Tm2ZrCl.

abc: 3.4867 3.4867 28.2776
angles: 90.00 90.00 120.00
Space group R-3m (No. 166, hexagonal axes)
Asymmetric unit:
Tm  0.0000  0.0000  0.2440
Zr  0.0000  0.0000  0.0000
Cl  0.0000  0.0000  0.5000

Output
Total DFT energy (no corrections)   -65.32 eV/cell
Raw formation energy   -0.609 eV/atom



[15]
VASP calculation (PBE) on a relaxed structure of UCl3.

abc: 3.692 7.245 9.800
angles: 90.00 90.00 90.00
Space group Pmmn (No. 59, origin choice 2)
Asymmetric unit:
U  0.250  0.250  0.207
Cl  0.250  0.508  0.687
Cl  0.250  0.750  0.005

Output
Total DFT energy (no corrections)   -46.56 eV/cell
Raw formation energy   -1.613 eV/atom



[16]
VASP calculation (PBE) on a relaxed structure of U3Cl.

abc: 4.252 4.252 4.252
angles: 90.00 90.00 90.00
Space group Pm-3m (No. 221)
Asymmetric unit:
U  0.000  0.000  0.500
Cl  0.500  0.500  0.500

Output
Total DFT energy (no corrections)   -34.73 eV/cell
Raw formation energy   0.246 eV/atom



[17]
VASP calculation (PBE) on a relaxed structure of U3Cl.

abc: 4.293 4.293 8.353
angles: 90.00 90.00 90.00
Space group I4/mmm (No. 139)
Asymmetric unit:
U  0.000  0.000  0.000
U  0.000  0.500  0.250
Cl  0.000  0.000  0.500

Output
Total DFT energy (no corrections)   -69.57 eV/cell
Raw formation energy   0.232 eV/atom



[18]
VASP calculation (PBE) on a relaxed structure of UCl3.

abc: 7.5179 7.5179 4.2590
angles: 90.00 90.00 120.00
Space group P6_3/m (No. 176)
Asymmetric unit:
U  0.3333  0.6667  0.2500
Cl  0.0857  0.3900  0.7500

Output
Total DFT energy (no corrections)   -47.00 eV/cell
Raw formation energy   -1.668 eV/atom



[19]
VASP calculation (PBE) on a relaxed structure of UVCl2.

abc: 3.0577 3.0577 27.1412
angles: 90.00 90.00 120.00
Space group R-3m (No. 166, hexagonal axes)
Asymmetric unit:
U  0.0000  0.0000  0.0000
V  0.0000  0.0000  0.5000
Cl  0.0000  0.0000  0.1058

Output
Total DFT energy (no corrections)   -76.53 eV/cell
Raw formation energy   -0.352 eV/atom



[20]
VASP calculation (PBE) on a relaxed structure of UVCl.

abc: 11.486 3.450 9.242
angles: 90.00 122.40 90.00
Space group C2/m (No. 12)
Asymmetric unit:
U  0.174  0.000  0.088
V  0.069  0.500  0.918
Cl  0.196  0.000  0.649

Output
Total DFT energy (no corrections)   -89.53 eV/cell
Raw formation energy   -0.043 eV/atom